Record 1
The following is a DFT calculation (GGA-PBE) of a relaxed Pr2Ga3Ni4Ru crystal.

Output
As for the formation energy: -4.27 eV/f.u.

Cell lengths 4.070, 4.070, 10.307 Å; angles 90.00, 90.00, 90.00 degrees
Fractional positions:
Pr (0.500, 0.000, 0.251)
Pr (0.000, 0.500, 0.749)
Ga (0.000, 0.000, 0.500)
Ga (0.500, 0.000, 0.875)
Ga (0.000, 0.500, 0.125)
Ni (0.500, 0.500, 0.000)
Ni (0.000, 0.000, 0.000)
Ni (0.500, 0.000, 0.637)
Ni (0.000, 0.500, 0.363)
Ru (0.500, 0.500, 0.500)



Record 2
The following is a DFT calculation (GGA-PBE) of a relaxed Sc2Ge2S crystal.

Output
The value obtained for the raw formation energy is -813 meV per atom. The calculation puts the energy above the most stable polymorph in this dataset at 0.1243 eV per atom.

Cell lengths 3.609, 3.609, 7.744 Å; angles 76.53, 76.53, 90.00 degrees
Fractional positions:
Sc (0.397, 0.397, 0.205)
Sc (0.603, 0.603, 0.795)
Ge (0.750, 0.250, 0.500)
Ge (0.250, 0.750, 0.500)
S (0.000, 0.000, 0.000)



Record 3
The following is a DFT calculation (GGA-PBE) of a relaxed MnHgS2 crystal.

Output
The value obtained for the raw formation energy is -411 meV per atom. The calculation puts the energy above the most stable polymorph in this dataset at 0.0000 eV per atom.

Cell lengths 9.140, 3.345, 3.345 Å; angles 120.64, 89.42, 90.58 degrees
Last column: magnetic moment on the atom in μB.
Fractional positions:
S (0.855, 0.665, 0.335)  -0.03
S (0.145, 0.335, 0.665)  -0.03
Mn (0.000, 0.000, 0.000)  2.88
Hg (0.500, 0.500, 0.500)  0.01



Record 4
The following is a DFT calculation (GGA-PBE) of a relaxed KZrNi crystal.

Output
As for the formation energy: 1.29 eV/f.u. The calculation puts the energy above the most stable polymorph in this dataset at 0.1171 eV per atom.

Cell lengths 3.537, 3.537, 7.708 Å; angles 90.00, 90.00, 120.00 degrees
Fractional positions:
K (0.000, 0.000, 0.044)
Ni (0.333, 0.667, 0.386)
Zr (0.667, 0.333, 0.569)



Record 5
The following is a DFT calculation (GGA-PBE) of a relaxed La3Au2 crystal.

Output
As for the formation energy: -2.86 eV/f.u. The calculation puts the energy above the most stable polymorph in this dataset at 0.0771 eV per atom.

Cell lengths 5.173, 5.173, 6.841 Å; angles 67.81, 67.81, 60.06 degrees
Fractional positions:
La (0.716, 0.716, 0.853)
La (0.500, 0.500, 0.500)
La (0.284, 0.284, 0.147)
Au (0.087, 0.087, 0.740)
Au (0.913, 0.913, 0.260)



Record 6
The following is a DFT calculation (GGA-PBE) of a relaxed TlPtW2 crystal.

Output
As for the formation energy: 2.52 eV/f.u. The calculation puts the energy above the most stable polymorph in this dataset at 0.2483 eV per atom.

Cell lengths 5.217, 5.217, 2.829 Å; angles 90.08, 90.08, 115.88 degrees
Fractional positions:
Pt (0.500, 0.000, 0.500)
Tl (0.000, 0.500, 0.500)
W (0.000, 0.000, 0.000)
W (0.500, 0.500, 0.000)



Record 7
The following is a DFT calculation (GGA-PBE) of a relaxed PmSiRu crystal.

Output
The value obtained for the raw formation energy is -580 meV per atom. The calculation puts the energy above the most stable polymorph in this dataset at 0.2105 eV per atom.

Cell lengths 4.538, 7.383, 7.383 Å; angles 73.33, 86.06, 86.06 degrees
Fractional positions:
Pm (0.245, 0.690, 0.940)
Pm (0.755, 0.810, 0.560)
Pm (0.755, 0.310, 0.060)
Pm (0.245, 0.190, 0.440)
Ru (0.149, 0.446, 0.696)
Ru (0.149, 0.946, 0.196)
Ru (0.851, 0.554, 0.304)
Ru (0.851, 0.054, 0.804)
Si (0.671, 0.372, 0.622)
Si (0.671, 0.872, 0.122)
Si (0.329, 0.628, 0.378)
Si (0.329, 0.128, 0.878)



Record 8
The following is a DFT calculation (GGA-PBE) of a relaxed Ni2HgAs2 crystal.

Output
As for the formation energy: 0.00 eV/f.u. The calculation puts the energy above the most stable polymorph in this dataset at 0.0000 eV per atom.

Cell lengths 4.211, 4.211, 5.674 Å; angles 68.22, 68.22, 90.00 degrees
Fractional positions:
Ni (0.750, 0.250, 0.500)
Ni (0.250, 0.750, 0.500)
As (0.365, 0.365, 0.270)
As (0.635, 0.635, 0.730)
Hg (0.000, 0.000, 0.000)



Record 9
The following is a DFT calculation (GGA-PBE) of a relaxed Al2InHgI8 crystal.

Output
The value obtained for the raw formation energy is -504 meV per atom.

Cell lengths 8.468, 8.475, 12.040 Å; angles 57.45, 69.41, 60.02 degrees
Fractional positions:
Al (0.316, 0.260, 0.108)
Al (0.684, 0.740, 0.892)
In (0.000, 0.000, 0.000)
Hg (0.500, 0.500, 0.500)
I (0.863, 0.483, 0.791)
I (0.646, 0.570, 0.139)
I (0.137, 0.517, 0.209)
I (0.354, 0.430, 0.861)
I (0.627, 0.028, 0.208)
I (0.373, 0.972, 0.792)
I (0.137, 0.028, 0.208)
I (0.863, 0.972, 0.792)



Record 10
The following is a DFT calculation (GGA-PBE) of a relaxed Tm6Tl2Cu crystal.

Output
As for the formation energy: -1.01 eV/f.u.

Cell lengths 6.215, 8.353, 9.633 Å; angles 90.00, 87.01, 90.00 degrees
Fractional positions:
Tm (0.882, 0.972, 0.229)
Tm (0.878, 0.676, 0.556)
Tm (0.885, 0.683, 0.947)
Tm (0.615, 0.183, 0.553)
Tm (0.622, 0.176, 0.944)
Tm (0.618, 0.472, 0.271)
Tm (0.118, 0.028, 0.771)
Tm (0.122, 0.324, 0.444)
Tm (0.115, 0.317, 0.053)
Tm (0.385, 0.817, 0.447)
Tm (0.378, 0.824, 0.056)
Tm (0.382, 0.528, 0.729)
Tl (0.919, 0.377, 0.751)
Tl (0.581, 0.877, 0.749)
Tl (0.419, 0.123, 0.251)
Tl (0.081, 0.623, 0.249)
Cu (0.500, 0.500, 0.000)
Cu (0.000, 0.000, 0.500)



Record 11
The following is a DFT calculation (GGA-PBE) of a relaxed ScCoRu crystal.

Output
As for the formation energy: -0.29 eV/f.u. The calculation puts the energy above the most stable polymorph in this dataset at 0.2686 eV per atom.

Cell lengths 4.160, 4.160, 3.159 Å; angles 90.00, 90.00, 120.00 degrees
Last column: magnetic moment on the atom in μB.
Fractional positions:
Co (0.000, 0.000, 0.166)  1.26
Ru (0.333, 0.667, 0.167)  0.56
Sc (0.667, 0.333, 0.667)  -0.04



Record 12
The following is a DFT calculation (GGA-PBE) of a relaxed SmHg3Pd crystal.

Output
As for the formation energy: -1.91 eV/f.u.

Cell lengths 4.965, 10.398, 9.011 Å; angles 90.00, 90.00, 90.00 degrees
Fractional positions:
Sm (0.750, 0.753, 0.976)
Sm (0.250, 0.747, 0.476)
Sm (0.750, 0.253, 0.524)
Sm (0.250, 0.247, 0.024)
Hg (0.250, 0.572, 0.096)
Hg (0.750, 0.428, 0.904)
Hg (0.250, 0.072, 0.404)
Hg (0.750, 0.928, 0.596)
Hg (0.250, 0.430, 0.679)
Hg (0.750, 0.070, 0.179)
Hg (0.250, 0.930, 0.821)
Hg (0.750, 0.616, 0.648)
Hg (0.250, 0.384, 0.352)
Hg (0.750, 0.116, 0.852)
Hg (0.750, 0.570, 0.321)
Hg (0.250, 0.884, 0.148)
Pd (0.250, 0.168, 0.696)
Pd (0.250, 0.668, 0.804)
Pd (0.750, 0.332, 0.196)
Pd (0.750, 0.832, 0.304)



| no. | DFT total energy (hartree per atom) | DOS at the Fermi energy (states/eV per cell) |
| --- | --- | --- |
| 1 | -0.2033 | 9.43 |
| 2 | -0.2211 | 1.50 |
| 3 | -0.1780 | 0.96 |
| 4 | -0.1732 | 3.24 |
| 5 | -0.1778 | 5.15 |
| 6 | -0.2921 | 2.90 |
| 7 | -0.2596 | 7.40 |
| 8 | -0.1556 | 3.48 |
| 9 | -0.0887 | 3.35 |
| 10 | -0.1497 | 23.93 |
| 11 | -0.2817 | 4.62 |
| 12 | -0.0935 | 9.50 |